1.
The following is a GGA-PBE calculation of crystalline YEr3Cd6 at its relaxed geometry, from Alexandria via LeMat-Bulk.

Computed properties:
DFT total energy = -2.853 eV per atom
ΔE_f = -2.88 eV per formula unit

Lattice parameters (Å, degrees): 5.1315 9.1368 10.9853 105.51 90.00 90.00
Closest atoms and distances in Å follow each position.
Atoms (fractional coordinates):
Cd (0.2500, 0.8455, 0.3064)  4 Er 3.16-3.28, 3 Y 3.19-3.20, 1 Cd 3.26
Cd (0.7500, 0.3448, 0.2923)  1 Y 3.11, 5 Er 3.11-3.33, 2 Cd 3.17
Er (0.7500, 0.4701, 0.6059)  8 Cd 3.11-3.33
Er (0.2500, 0.5299, 0.3941)  8 Cd 3.11-3.33
Cd (0.7500, 0.8570, 0.8036)  8 Cd 3.12-3.27
Cd (0.7500, 0.1545, 0.6936)  4 Er 3.16-3.28, 3 Y 3.19-3.20, 1 Cd 3.26
Cd (0.7500, 0.7564, 0.4987)  4 Er 3.12-3.30, 3 Y 3.14-3.26, 1 Cd 3.23
Cd (0.2500, 0.4499, 0.0964)  7 Er 3.15-3.26, 1 Cd 3.27
Er (0.2500, 0.7591, 0.0021)  8 Cd 3.11-3.26
Er (0.2500, 0.3514, 0.7962)  8 Cd 3.12-3.24
Cd (0.7500, 0.9475, 0.0980)  1 Y 3.11, 4 Er 3.11-3.24, 3 Cd 3.12-3.15
Y (0.7500, 0.0562, 0.3916)  8 Cd 3.11-3.26
Cd (0.2500, 0.6552, 0.7077)  1 Y 3.11, 5 Er 3.11-3.33, 2 Cd 3.17
Cd (0.2500, 0.2436, 0.5013)  4 Er 3.12-3.30, 3 Y 3.14-3.26, 1 Cd 3.23
Cd (0.2500, 0.0525, 0.9020)  1 Y 3.11, 4 Er 3.11-3.24, 3 Cd 3.12-3.15
Cd (0.7500, 0.5501, 0.9036)  7 Er 3.15-3.26, 1 Cd 3.27
Er (0.7500, 0.6486, 0.2038)  8 Cd 3.12-3.24
Cd (0.2500, 0.1430, 0.1964)  8 Cd 3.12-3.27
Er (0.7500, 0.2409, 0.9979)  8 Cd 3.11-3.26
Y (0.2500, 0.9438, 0.6084)  8 Cd 3.11-3.26

***

2.
The following is a GGA-PBE calculation of crystalline KB3W at its relaxed geometry, from Alexandria via LeMat-Bulk.

Computed properties:
DFT total energy = -3.144 eV per atom
ΔE_f = 18.36 eV per formula unit
Energy above the lowest structure with this stoichiometry = 2.717 eV per atom

Lattice parameters (Å, degrees): 4.0057 4.0057 4.0057 90.00 90.00 90.00
Closest atoms and distances in Å follow each position.
Atoms (fractional coordinates):
K (0.0000, 0.0000, 0.0000)  6 B 2.00
B (0.5000, 0.0000, 0.0000)  2 K 2.00
B (0.0000, 0.0000, 0.5000)  2 K 2.00
B (0.0000, 0.5000, 0.0000)  2 K 2.00
W (0.5000, 0.5000, 0.5000)  12 B 2.83